[1]
The following is a GGA-PBE calculation of Ba2Li3PuF12 after structural relaxation, from the Alexandria database.

The total magnetization is 2.98 μB per formula unit. The total energy is -5.74 eV per atom. The formation energy without anion corrections comes out at -3.163 eV/atom.

The space group is R-3m (No. 166, hexagonal axes) and the conventional cell measures 6.9091, 6.9091 and 17.8326 Å, with angles of 90.00, 90.00 and 120.00 degrees. Symmetry generates all atoms from Ba at (0.0000, 0.0000, 0.1001), Li at (0.0000, 0.5000, 0.0000), Pu at (0.0000, 0.0000, 0.5000), F at (0.0242, 0.5121, 0.8689) and F at (0.0682, 0.5341, 0.2937).

---

[2]
The following is a GGA-PBE calculation of KIr after structural relaxation, from the Alexandria database.

The formation energy comes out at 528 meV per atom. The value obtained for the energy above the lowest structure with this stoichiometry is 0.162 eV per atom. The total magnetization is 0.00 μB per formula unit. The total energy is -4.45 eV per atom.

The space group is Cm (No. 8) and the conventional cell measures 12.417, 2.831 and 10.119 Å, with angles of 90.00, 108.62 and 90.00 degrees. Symmetry generates all atoms from K at (0.000, 0.000, 0.000), K at (0.124, 0.500, 0.476), K at (0.279, 0.000, 0.107), Ir at (0.128, 0.500, 0.792), Ir at (0.297, 0.000, 0.760) and Ir at (0.444, 0.500, 0.684).

---

[3]
The following is a GGA-PBE calculation of SrAcPmTm after structural relaxation, from the Alexandria database.

The formation energy comes out at 194 meV per atom. The total magnetization is 0.00 μB per formula unit. The total energy is -3.56 eV per atom.

The space group is F-43m (No. 216) and the conventional cell measures 8.573, 8.573 and 8.573 Å, with angles of 90.00, 90.00 and 90.00 degrees. Symmetry generates all atoms from Sr at (0.000, 0.000, 0.000), Ac at (0.250, 0.250, 0.750), Pm at (0.250, 0.250, 0.250) and Tm at (0.000, 0.000, 0.500).

---

[4]
The following is a GGA-PBE calculation of TaInCu3 after structural relaxation, from the Alexandria database.

The formation energy comes out at 1270 meV per atom. The value obtained for the energy above the lowest structure with this stoichiometry is 0.000 eV per atom. The total magnetization is 0.00 μB per formula unit. The total energy is -4.11 eV per atom.

The space group is Pm-3m (No. 221) and the conventional cell measures 4.846, 4.846 and 4.846 Å, with angles of 90.00, 90.00 and 90.00 degrees. Symmetry generates all atoms from Ta at (0.000, 0.000, 0.000), In at (0.500, 0.500, 0.500) and Cu at (0.000, 0.000, 0.500).

---

What is the formula in the first record? Ba2Li3PuF12

---

The highest total magnetization belongs to which entry? Ba2Li3PuF12